Entry 1:
## LaSm3Ga2 (PBE)

Data for a relaxed LaSm3Ga2 crystal.

Values from the calculation:
ΔE_f (meV per atom): -331
SG: C2/m
Volume (Å³ per atom): 28.91

Lattice parameters (Å, degrees): 5.1995 9.5503 8.8753 123.61 90.00 105.80
Element x y z (fractional)
1 La 0.8735 0.7470 0.9369
2 La 0.1265 0.2530 0.0631
3 Sm 0.3110 0.6219 0.6171
4 Sm 0.9369 0.8739 0.5908
5 Sm 0.6272 0.2544 0.7464
6 Sm 0.3728 0.7456 0.2536
7 Sm 0.0631 0.1261 0.4092
8 Sm 0.6890 0.3781 0.3829
9 Ga 0.5065 0.0131 0.8654
10 Ga 0.4935 0.9869 0.1346
11 Ga 0.7739 0.5477 0.1671
12 Ga 0.2261 0.4523 0.8329



Entry 2:
## SmCuS (PBE)

Data for a relaxed SmCuS crystal.

Values from the calculation:
SG: P4/nmm
E_form (uncorrected) (eV per atom): -1.069
Volume (Å³ per atom): 20.86

Lattice parameters (Å, degrees): 3.8864 3.8864 8.2882 90.00 90.00 90.00
Element x y z (fractional)
1 Cu 0.0000 0.0000 0.0000
2 Cu 0.5000 0.5000 0.0000
3 S 0.0000 0.5000 0.6394
4 S 0.5000 0.0000 0.3606
5 Sm 0.0000 0.5000 0.2910
6 Sm 0.5000 0.0000 0.7090



Entry 3:
## PaTl2O3F3 (PBE)

Data for a relaxed PaTl2O3F3 crystal.

Values from the calculation:
SG: P-62m
E_form (uncorrected) (eV per atom): -2.248
Volume (Å³ per atom): 14.07

Lattice parameters (Å, degrees): 3.6357 6.3427 6.3427 120.00 90.00 90.00
Element x y z (fractional)
1 Pa 0.0000 0.0000 0.0000
2 Tl 0.5000 0.3333 0.6667
3 Tl 0.5000 0.6667 0.3333
4 O 0.5000 0.7631 0.0000
5 O 0.5000 0.2369 0.2369
6 O 0.5000 0.0000 0.7631
7 F 0.0000 0.0000 0.3716
8 F 0.0000 0.6284 0.6284
9 F 0.0000 0.3716 0.0000



Number 1: calculated density 6.98 g/cm3. Number 2: calculated density 6.53 g/cm3. Number 3: calculated density 9.76 g/cm3.